A:
Density functional theory data (GGA-PBEsol) for a relaxed Li2MoCl crystal.

Geometry as POSCAR:
```
Li2MoCl
1.0
2.8578 0.0000 0.0000
-1.4289 4.3547 -0.0102
0.0000 -2.1234 4.6445
Li Mo Cl
2 1 1
Direct
0.0558 0.1115 0.9730
0.2652 0.5304 0.7655
0.4541 0.9082 0.3856
0.7249 0.4499 0.3758
```

space-group type = Cm, No. 8
crystal system = monoclinic
V = 57.74 Å³ per cell

---

B:
Density functional theory data (GGA-PBEsol) for a relaxed Li2MoCl crystal.

Geometry as POSCAR:
```
Li2MoCl
1.0
-1.5518 -1.1334 1.9941
-1.4379 -3.3492 -3.0225
4.1967 -0.9266 2.7391
Mo Li Cl
1 2 1
Direct
0.5000 0.0000 0.0000
0.0000 0.0000 0.5000
0.0000 0.5000 0.5000
0.5000 0.5000 0.0000
```

space-group type = Cmmm, No. 65
crystal system = orthorhombic
V = 59.18 Å³ per cell

---

C:
Density functional theory data (GGA-PBEsol) for a relaxed Li2MoCl crystal.

Geometry as POSCAR:
```
Li2MoCl
1.0
-2.0501 -2.0179 0.2037
1.9327 -0.3047 -2.1184
5.1506 -4.6904 5.3737
Li Mo Cl
2 1 1
Direct
0.5000 0.5000 0.7428
0.0000 0.0000 0.0390
0.0000 0.0000 0.4748
0.5000 0.5000 0.2434
```

space-group type = Cmm2, No. 35
crystal system = orthorhombic
V = 65.17 Å³ per cell

---

Most favorable first, least favorable last: A, C, B

---

A:
Density functional theory data (GGA-PBEsol) for a relaxed LiOsCl2 crystal.

Geometry as POSCAR:
```
LiOsCl2
1.0
3.0938 0.0000 0.0000
1.5469 2.6793 0.0000
1.5469 0.8931 7.4078
Cl Li Os
2 1 1
Direct
0.7386 0.7386 0.7842
0.2614 0.2614 0.2158
0.0000 0.0000 0.0000
0.5000 0.5000 0.5000
```

space-group type = R-3m, No. 166
crystal system = trigonal
V = 61.41 Å³ per cell

---

B:
Density functional theory data (GGA-PBEsol) for a relaxed LiOsCl2 crystal.

Geometry as POSCAR:
```
LiOsCl2
1.0
-1.4664 2.2880 -1.2520
-3.4257 -0.9474 2.2810
2.2329 1.6945 4.0568
Os Li Cl
1 1 2
Direct
0.2627 0.8749 0.5255
0.4701 0.3751 0.9401
0.7519 0.3749 0.5038
0.0153 0.8751 0.0306
```

space-group type = Amm2, No. 38
crystal system = orthorhombic
V = 59.37 Å³ per cell

---

Most favorable first, least favorable last: B, A

---

A:
Density functional theory data (GGA-PBEsol) for a relaxed LiOsCl2 crystal.

Geometry as POSCAR:
```
LiOsCl2
1.0
-3.0552 -1.3074 1.2780
-1.2250 -0.9104 -3.8599
4.4731 -3.9095 1.7342
Os Cl Li
1 2 1
Direct
0.0000 0.5000 0.0000
0.3658 0.3658 0.7315
0.6342 0.6342 0.2685
0.5000 0.0000 0.0000
```

space-group type = Immm, No. 71
crystal system = orthorhombic
V = 82.05 Å³ per cell

---

B:
Density functional theory data (GGA-PBEsol) for a relaxed LiOsCl2 crystal.

Geometry as POSCAR:
```
LiOsCl2
1.0
-1.3624 -1.0988 2.4391
2.4262 -1.6607 0.6071
2.6290 5.2409 3.8294
Os Li Cl
1 1 2
Direct
0.5000 0.5000 0.5000
0.5000 0.5000 0.0000
0.0000 0.0000 0.7756
0.0000 0.0000 0.2244
```

space-group type = P4/mmm, No. 123
crystal system = tetragonal
V = 63.12 Å³ per cell

---

Most favorable first, least favorable last: A, B

---

A:
Density functional theory data (GGA-PBEsol) for a relaxed LiP2WCl crystal.

Geometry as POSCAR:
```
LiP2WCl
1.0
4.6141 0.0000 0.0000
0.0000 4.6141 0.0000
0.0000 0.0000 5.0911
Cl W P Li
1 1 2 1
Direct
0.0000 0.0000 0.5000
0.0000 0.0000 0.0000
0.0000 0.5000 0.0000
0.5000 0.0000 0.0000
0.5000 0.5000 0.5000
```

space-group type = P4/mmm, No. 123
crystal system = tetragonal
V = 108.39 Å³ per cell

---

B:
Density functional theory data (GGA-PBEsol) for a relaxed LiP2WCl crystal.

Geometry as POSCAR:
```
LiP2WCl
1.0
-0.1671 4.1121 -1.3388
-0.7775 -1.3169 -3.9475
-4.1582 0.0881 0.7896
P Cl W Li
2 1 1 1
Direct
0.0000 0.0000 0.5000
0.0000 0.5000 0.0000
0.5000 0.0000 0.0000
0.5000 0.5000 0.5000
0.0000 0.0000 0.0000
```

space-group type = P4/mmm, No. 123
crystal system = tetragonal
V = 77.56 Å³ per cell

---

Most favorable first, least favorable last: A, B

---

A:
Density functional theory data (GGA-PBEsol) for a relaxed Li2PtCl crystal.

Geometry as POSCAR:
```
Li2PtCl
1.0
2.9207 0.0007 0.0000
-0.9988 2.7446 0.0000
0.0000 0.0000 7.1658
Li Pt Cl
2 1 1
Direct
0.0000 0.0000 0.2230
0.0000 0.0000 0.7770
0.5000 0.5000 0.5000
0.5000 0.5000 0.0000
```

space-group type = Cmmm, No. 65
crystal system = orthorhombic
V = 57.45 Å³ per cell

---

B:
Density functional theory data (GGA-PBEsol) for a relaxed Li2PtCl crystal.

Geometry as POSCAR:
```
Li2PtCl
1.0
-0.5767 2.6865 -0.9857
-2.6634 -1.4862 -2.4922
-2.1420 -0.0524 5.4326
Cl Li Pt
1 2 1
Direct
0.2388 0.7388 0.4776
0.9515 0.9515 0.9031
0.7861 0.2861 0.5722
0.5236 0.5236 0.0472
```

space-group type = Imm2, No. 44
crystal system = orthorhombic
V = 60.94 Å³ per cell

---

Most favorable first, least favorable last: A, B

---

A:
Density functional theory data (GGA-PBEsol) for a relaxed Li2ReCl crystal.

Geometry as POSCAR:
```
Li2ReCl
1.0
2.8403 0.0000 0.0000
1.4201 2.4597 0.0000
1.4201 0.8199 8.0179
Li Re Cl
2 1 1
Direct
0.7348 0.7348 0.7957
0.2652 0.2652 0.2043
0.5000 0.5000 0.5000
0.0000 0.0000 0.0000
```

space-group type = R-3m, No. 166
crystal system = trigonal
V = 56.02 Å³ per cell

---

B:
Density functional theory data (GGA-PBEsol) for a relaxed Li2ReCl crystal.

Geometry as POSCAR:
```
Li2ReCl
1.0
3.4960 0.0000 0.0000
0.0000 3.4960 0.0000
-1.7480 -1.7480 4.6241
Li Cl Re
2 1 1
Direct
0.7500 0.2500 0.5000
0.0000 0.0000 0.0000
0.2500 0.7500 0.5000
0.5000 0.5000 0.0000
```

space-group type = I-4m2, No. 119
crystal system = tetragonal
V = 56.52 Å³ per cell

---

Most favorable first, least favorable last: A, B

---

A:
Density functional theory data (GGA-PBEsol) for a relaxed LiReCl2 crystal.

Geometry as POSCAR:
```
LiReCl2
1.0
2.8745 0.0000 0.0000
0.0000 4.8448 -0.0434
0.0000 -0.7334 4.7891
Cl Re Li
2 1 1
Direct
0.0000 0.0000 0.5000
0.0000 0.5000 0.0000
0.0000 0.5000 0.5000
0.0000 0.0000 0.0000
```

space-group type = Cmmm, No. 65
crystal system = orthorhombic
V = 66.60 Å³ per cell

---

B:
Density functional theory data (GGA-PBEsol) for a relaxed LiReCl2 crystal.

Geometry as POSCAR:
```
LiReCl2
1.0
3.0474 0.0000 0.0248
0.0000 3.0465 0.0000
-0.1358 -1.5232 7.0729
Cl Re Li
2 1 1
Direct
0.6324 0.7665 0.5331
0.1185 0.0015 0.0030
0.1281 0.1830 0.3660
0.6209 0.5490 0.0979
```

space-group type = Cm, No. 8
crystal system = monoclinic
V = 65.67 Å³ per cell

---

Most favorable first, least favorable last: B, A